(1)
Here is crystalline RbTiGaCl2 at its relaxed geometry from Alexandria. Energies are from GGA-PBE.

## Properties
SG   P4/mmm, No. 123
ΔE_f (raw)   -754 meV per atom
Calculated volume   135 Å³/f.u.

Unit cell a=5.063 b=5.273 c=5.063 alpha=90.00 beta=90.00 gamma=90.00
Fractional positions:
Cl 0.000 0.000 0.500
Cl 0.500 0.000 0.000
Ga 0.000 0.500 0.000
Rb 0.500 0.500 0.500
Ti 0.000 0.000 0.000

***

(2)
Here is crystalline RbTl2GaCl4 at its relaxed geometry from Alexandria. Energies are from GGA-PBE.

## Properties
SG   P2/m, No. 10
ΔE_f (raw)   -1154 meV per atom
Calculated volume   269 Å³/f.u.

Unit cell a=4.568 b=7.915 c=7.886 alpha=70.58 beta=90.00 gamma=90.00
Fractional positions:
Rb 0.000 0.500 0.500
Tl 0.000 0.000 0.000
Tl 0.500 0.000 0.500
Ga 0.500 0.500 0.000
Cl 0.000 0.739 0.763
Cl 0.000 0.261 0.237
Cl 0.500 0.746 0.241
Cl 0.500 0.254 0.759

***

(3)
Here is crystalline RbTl2GaCl6 at its relaxed geometry from Alexandria. Energies are from GGA-PBE.

## Properties
SG   P-3m1, No. 164
ΔE_f (raw)   -1239 meV per atom
Calculated volume   365 Å³/f.u.

Unit cell a=8.101 b=7.208 c=7.208 alpha=120.00 beta=90.00 gamma=90.00
Fractional positions:
Rb 0.500 0.000 0.000
Tl 0.101 0.333 0.667
Tl 0.899 0.667 0.333
Ga 0.000 0.000 0.000
Cl 0.828 0.157 0.315
Cl 0.828 0.157 0.843
Cl 0.828 0.685 0.843
Cl 0.172 0.843 0.157
Cl 0.172 0.315 0.157
Cl 0.172 0.843 0.685

***

(4)
Here is crystalline RbTlGa2Cl4 at its relaxed geometry from Alexandria. Energies are from GGA-PBE.

## Properties
SG   P2/m, No. 10
ΔE_f (raw)   -1069 meV per atom
Calculated volume   256 Å³/f.u.

Unit cell a=4.492 b=7.759 c=7.776 alpha=70.53 beta=90.00 gamma=90.00
Fractional positions:
Rb 0.000 0.500 0.500
Tl 0.500 0.500 0.000
Ga 0.000 0.000 0.000
Ga 0.500 0.000 0.500
Cl 0.000 0.769 0.745
Cl 0.000 0.231 0.255
Cl 0.500 0.771 0.242
Cl 0.500 0.229 0.758

***

(5)
Here is crystalline RbTlGa2Cl8 at its relaxed geometry from Alexandria. Energies are from GGA-PBE.

## Properties
SG   R-3, No. 148
ΔE_f (raw)   -1327 meV per atom
Calculated volume   393 Å³/f.u.

Unit cell a=7.033 b=7.033 c=10.037 alpha=69.49 beta=69.49 gamma=60.00
Fractional positions:
Rb 0.000 0.000 0.000
Tl 0.500 0.500 0.500
Ga 0.238 0.238 0.287
Ga 0.762 0.762 0.713
Cl 0.158 0.158 0.525
Cl 0.507 0.353 0.204
Cl 0.842 0.842 0.475
Cl 0.936 0.507 0.204
Cl 0.064 0.493 0.796
Cl 0.353 0.936 0.204
Cl 0.647 0.064 0.796
Cl 0.493 0.647 0.796

***

(6)
Here is crystalline Rb2TmGaCl6 at its relaxed geometry from Alexandria. Energies are from GGA-PBE.

## Properties
SG   P1, No. 1
ΔE_f (raw)   -1879 meV per atom
Calculated volume   328 Å³/f.u.

Unit cell a=7.859 b=7.856 c=7.639 alpha=58.97 beta=59.03 gamma=59.97
Fractional positions:
Rb 0.558 0.558 0.327
Rb 0.074 0.073 0.778
Tm 0.316 0.316 0.051
Ga 0.816 0.816 0.552
Cl 0.537 0.160 0.296
Cl 0.159 0.008 0.298
Cl 0.008 0.538 0.295
Cl 0.474 0.624 0.805
Cl 0.624 0.095 0.808
Cl 0.096 0.472 0.807

***

(7)
Here is crystalline RbUGaCl6 at its relaxed geometry from Alexandria. Energies are from GGA-PBE.

## Properties
SG   P-31c, No. 163
ΔE_f (raw)   -1601 meV per atom
Calculated volume   336 Å³/f.u.

Unit cell a=7.525 b=7.525 c=13.712 alpha=90.00 beta=90.00 gamma=120.00
Fractional positions:
Rb 0.000 0.000 0.000
Rb 0.000 0.000 0.500
U 0.667 0.333 0.250
U 0.333 0.667 0.750
Ga 0.333 0.667 0.250
Ga 0.667 0.333 0.750
Cl 0.651 0.614 0.141
Cl 0.963 0.349 0.141
Cl 0.349 0.963 0.641
Cl 0.037 0.651 0.859
Cl 0.386 0.349 0.359
Cl 0.963 0.614 0.359
Cl 0.614 0.963 0.859
Cl 0.651 0.037 0.359
Cl 0.037 0.386 0.641
Cl 0.386 0.037 0.141
Cl 0.614 0.651 0.641
Cl 0.349 0.386 0.859

***

(8)
Here is crystalline Rb2UGaCl6 at its relaxed geometry from Alexandria. Energies are from GGA-PBE.

## Properties
SG   Pmmn, No. 59
ΔE_f (raw)   -1590 meV per atom
Calculated volume   369 Å³/f.u.

Unit cell a=7.849 b=8.308 c=11.317 alpha=90.00 beta=90.00 gamma=90.00
Fractional positions:
Rb 0.500 0.804 0.211
Rb 0.000 0.196 0.711
Rb 0.500 0.804 0.789
Rb 0.000 0.196 0.289
U 0.500 0.223 0.500
U 0.000 0.777 0.000
Ga 0.000 0.719 0.500
Ga 0.500 0.281 0.000
Cl 0.500 0.209 0.258
Cl 0.500 0.209 0.742
Cl 0.000 0.791 0.242
Cl 0.000 0.791 0.758
Cl 0.256 0.983 0.500
Cl 0.744 0.983 0.500
Cl 0.235 0.435 0.500
Cl 0.765 0.435 0.500
Cl 0.735 0.565 0.000
Cl 0.265 0.565 0.000
Cl 0.244 0.017 0.000
Cl 0.756 0.017 0.000

***

(9)
Here is crystalline Rb2VGaCl at its relaxed geometry from Alexandria. Energies are from GGA-PBE.

## Properties
SG   P4/mmm, No. 123
ΔE_f (raw)   585 meV per atom
Calculated volume   253 Å³/f.u.

Unit cell a=6.931 b=5.261 c=6.931 alpha=90.00 beta=90.00 gamma=90.00
Fractional positions:
Cl 0.000 0.500 0.000
Ga 0.000 0.000 0.000
Rb 0.000 0.000 0.500
Rb 0.500 0.000 0.000
V 0.500 0.500 0.500

***

(10)
Here is crystalline RbZnGa2Cl at its relaxed geometry from Alexandria. Energies are from GGA-PBE.

## Properties
SG   P4/mmm, No. 123
ΔE_f (raw)   57 meV per atom
Calculated volume   187 Å³/f.u.

Unit cell a=5.573 b=6.032 c=5.573 alpha=90.00 beta=90.00 gamma=90.00
Fractional positions:
Zn 0.500 0.500 0.500
Ga 0.000 0.000 0.500
Ga 0.500 0.000 0.000
Rb 0.000 0.500 0.000
Cl 0.000 0.000 0.000

***

(11)
Here is crystalline RbZnGaCl4 at its relaxed geometry from Alexandria. Energies are from GGA-PBE.

## Properties
SG   P2_1/m, No. 11
ΔE_f (raw)   -1269 meV per atom
Calculated volume   228 Å³/f.u.

Unit cell a=6.995 b=7.171 c=9.386 alpha=90.00 beta=104.13 gamma=90.00
Fractional positions:
Rb 0.788 0.750 0.477
Rb 0.212 0.250 0.523
Zn 0.213 0.750 0.271
Zn 0.787 0.250 0.729
Ga 0.767 0.750 0.991
Ga 0.233 0.250 0.009
Cl 0.004 0.496 0.795
Cl 0.996 0.996 0.205
Cl 0.996 0.504 0.205
Cl 0.004 0.004 0.795
Cl 0.458 0.750 0.152
Cl 0.542 0.250 0.848
Cl 0.320 0.750 0.520
Cl 0.680 0.250 0.480

***

(12)
Here is crystalline RbZnGa2Cl8 at its relaxed geometry from Alexandria. Energies are from GGA-PBE.

## Properties
SG   R-3, No. 148
ΔE_f (raw)   -1150 meV per atom
Calculated volume   363 Å³/f.u.

Unit cell a=6.597 b=6.597 c=10.364 alpha=71.44 beta=71.44 gamma=60.00
Fractional positions:
Rb 0.500 0.500 0.500
Zn 0.000 0.000 0.000
Ga 0.250 0.250 0.249
Ga 0.750 0.750 0.751
Cl 0.174 0.174 0.478
Cl 0.587 0.286 0.178
Cl 0.826 0.826 0.522
Cl 0.949 0.587 0.178
Cl 0.051 0.413 0.822
Cl 0.286 0.949 0.178
Cl 0.714 0.051 0.822
Cl 0.413 0.714 0.822

***

Total magnetization / μB/cell: 2.19; 0.00; 0.00; 0.00; 0.00; 0.00; 4.00; 6.00; 4.53; 0.00; 0.00; 1.00